# 1
DFT (GGA-PBEsol) results for a relaxed structure of Ba3CrSi.

Values from the calculation:
Magnetic moment (μB/f.u.): 4.03
Energy (Ry per atom): -0.2728
Calculated volume (Å³ per cell): 192.3
Uncorrected formation energy (eV per atom): 0.77
Space group: Pm-3m

Structure (POSCAR):
```
Ba3CrSi
1.0
-2.595 0.163 5.153
4.129 -3.388 2.187
3.086 4.670 1.407
Cr Si Ba
1 1 3
Direct
0.000 0.000 0.000 Cr
0.500 0.500 0.500 Si
0.000 0.500 0.000 Ba
0.000 0.000 0.500 Ba
0.500 0.000 0.000 Ba
```



# 2
DFT (GGA-PBEsol) results for a relaxed structure of AsS2F.

Values from the calculation:
Magnetic moment (μB/f.u.): 0.00
Energy (Ry per atom): -0.2765
Calculated volume (Å³ per cell): 57.5
Uncorrected formation energy (eV per atom): 0.19
Space group: R-3m

Structure (POSCAR):
```
AsS2F
1.0
-2.464 1.031 0.794
-1.545 -1.369 1.871
2.503 4.192 7.209
As S F
1 2 1
Direct
0.000 0.000 0.000 As
0.907 0.907 0.278 S
0.093 0.093 0.722 S
0.500 0.500 0.500 F
```



# 3
DFT (GGA-PBEsol) results for a relaxed structure of TcIr3.

Values from the calculation:
Magnetic moment (μB/f.u.): 0.00
Energy (Ry per atom): -0.7573
Calculated volume (Å³ per cell): 55.9
Calculated formation energy (eV per atom): -0.1197
Space group: C2/m

Structure (POSCAR):
```
TcIr3
1.0
-1.430 0.149 2.282
0.257 -4.655 0.465
4.419 1.131 1.101
Ir Tc
3 1
Direct
0.251 0.252 0.503 Ir
0.749 0.748 0.497 Ir
0.500 0.000 0.000 Ir
0.000 0.500 0.000 Tc
```